A relaxed structure of KTcSe2. Source: the Alexandria database, functional PBE.

Cell and atoms, written as POSCAR:
```
KTcSe2
1.0
0.000 3.605 3.605
3.605 0.000 3.605
3.605 3.605 0.000
K Tc Se
1 1 2
direct
0.000 0.000 0.000
0.250 0.250 0.250
0.500 0.500 0.500
0.750 0.750 0.750
```

calculated density = 5.23 g/cm³
SG = No. 216
DFT total energy = -3.822 eV per atom
crystal system = cubic